[1]
{"formula": "PuNpSe2", "functional": "PBE", "state": "relaxed", "magmom_total_mub_per_fu": 10.90, "space_group": "P4/mmm, No. 123", "final_energy_ev_per_atom": -9.678, "formation_energy_uncorrected_kj_per_mol_atoms": -107.8, "lattice": [[5.044, 0.000, 0.000], [0.000, 5.044, 0.000], [0.000, 0.000, 3.564]], "species": ["Pu", "Np", "Se", "Se"], "fractional_positions": [[0.000, 0.000, 0.000], [0.500, 0.500, 0.000], [0.000, 0.500, 0.500], [0.500, 0.000, 0.500]]}

[2]
{"formula": "Th3TcPd2", "functional": "PBE", "state": "relaxed", "delta_e_f_ev_per_atom": -0.549, "magmom_total_mub_per_fu": 0.00, "space_group": "P2_1/c, No. 14", "final_energy_ev_per_atom": -7.717, "lattice": [[5.859, 0.000, 0.000], [0.000, 10.937, 0.000], [-1.103, 0.000, 9.116]], "species": ["Th", "Th", "Th", "Th", "Th", "Th", "Th", "Th", "Th", "Th", "Th", "Th", "Tc", "Tc", "Tc", "Tc", "Pd", "Pd", "Pd", "Pd", "Pd", "Pd", "Pd", "Pd"], "fractional_positions": [[0.146, 0.082, 0.167], [0.146, 0.418, 0.667], [0.266, 0.083, 0.585], [0.266, 0.417, 0.085], [0.321, 0.741, 0.620], [0.321, 0.759, 0.120], [0.679, 0.241, 0.880], [0.679, 0.259, 0.380], [0.734, 0.583, 0.915], [0.734, 0.917, 0.415], [0.854, 0.582, 0.333], [0.854, 0.918, 0.833], [0.221, 0.616, 0.871], [0.221, 0.884, 0.371], [0.779, 0.116, 0.629], [0.779, 0.384, 0.129], [0.168, 0.195, 0.866], [0.168, 0.305, 0.366], [0.356, 0.556, 0.376], [0.356, 0.944, 0.876], [0.644, 0.056, 0.124], [0.644, 0.444, 0.624], [0.832, 0.695, 0.634], [0.832, 0.805, 0.134]]}

[3]
{"formula": "Ca2NdAgTe4", "functional": "PBE", "state": "relaxed", "magmom_total_mub_per_fu": 0.00, "space_group": "P2/m, No. 10", "final_energy_ev_per_atom": -4.248, "formation_energy_uncorrected_kj_per_mol_atoms": -118.1, "lattice": [[7.762, 0.000, 0.000], [0.000, 4.502, 0.000], [-2.668, 0.000, 7.319]], "species": ["Ca", "Ca", "Nd", "Ag", "Te", "Te", "Te", "Te"], "fractional_positions": [[0.000, 0.000, 0.000], [0.500, 0.500, 0.000], [0.000, 0.500, 0.500], [0.500, 0.000, 0.500], [0.249, 0.000, 0.752], [0.259, 0.500, 0.261], [0.741, 0.500, 0.739], [0.751, 0.000, 0.248]]}

[4]
{"formula": "TbIn3I6", "functional": "PBE", "state": "relaxed", "magmom_total_mub_per_fu": 0.00, "space_group": "P2_1/c, No. 14", "final_energy_ev_per_atom": -3.045, "formation_energy_uncorrected_kj_per_mol_atoms": -80.1, "lattice": [[8.100, 0.000, 0.000], [0.000, 9.190, 0.000], [-7.121, 0.000, 11.883]], "species": ["Tb", "Tb", "In", "In", "In", "In", "In", "In", "I", "I", "I", "I", "I", "I", "I", "I", "I", "I", "I", "I"], "fractional_positions": [[0.000, 0.000, 0.000], [0.000, 0.500, 0.500], [0.315, 0.099, 0.781], [0.315, 0.401, 0.281], [0.500, 0.000, 0.500], [0.500, 0.500, 0.000], [0.685, 0.599, 0.719], [0.685, 0.901, 0.219], [0.088, 0.062, 0.238], [0.088, 0.438, 0.738], [0.237, 0.719, 0.081], [0.237, 0.781, 0.581], [0.361, 0.167, 0.048], [0.361, 0.333, 0.548], [0.639, 0.667, 0.452], [0.639, 0.833, 0.952], [0.763, 0.219, 0.419], [0.763, 0.281, 0.919], [0.912, 0.562, 0.262], [0.912, 0.938, 0.762]]}

[5]
{"formula": "ScTlAgPt", "functional": "PBE", "state": "relaxed", "delta_e_f_ev_per_atom": -0.427, "magmom_total_mub_per_fu": 0.00, "space_group": "F-43m, No. 216", "final_energy_ev_per_atom": -4.825, "lattice": [[0.000, 3.375, 3.375], [3.375, 0.000, 3.375], [3.375, 3.375, 0.000]], "species": ["Sc", "Tl", "Ag", "Pt"], "fractional_positions": [[0.000, 0.000, 0.000], [0.500, 0.500, 0.500], [0.750, 0.750, 0.750], [0.250, 0.250, 0.250]]}

[6]
{"formula": "TbPu2Ir9", "functional": "PBE", "state": "relaxed", "delta_e_f_ev_per_atom": -0.462, "magmom_total_mub_per_fu": 8.14, "space_group": "R-3m, No. 166", "final_energy_ev_per_atom": -9.882, "lattice": [[2.650, 1.530, 8.783], [-2.650, 1.530, 8.783], [0.000, -3.060, 8.783]], "species": ["Tb", "Pu", "Pu", "Ir", "Ir", "Ir", "Ir", "Ir", "Ir", "Ir", "Ir", "Ir"], "fractional_positions": [[0.000, 0.000, 0.000], [0.140, 0.140, 0.140], [0.860, 0.860, 0.860], [0.081, 0.584, 0.584], [0.333, 0.333, 0.333], [0.416, 0.416, 0.919], [0.416, 0.919, 0.416], [0.500, 0.500, 0.500], [0.584, 0.081, 0.584], [0.584, 0.584, 0.081], [0.667, 0.667, 0.667], [0.919, 0.416, 0.416]]}

[7]
{"formula": "RbInGa2Hg", "functional": "PBE", "state": "relaxed", "delta_e_f_ev_per_atom": -0.107, "magmom_total_mub_per_fu": 0.00, "space_group": "Imm2, No. 44", "final_energy_ev_per_atom": -2.119, "lattice": [[-2.351, 2.438, 6.084], [2.351, -2.438, 6.084], [2.351, 2.438, -6.084]], "species": ["Rb", "In", "Ga", "Ga", "Hg"], "fractional_positions": [[0.000, 0.000, 0.000], [0.245, 0.745, 0.500], [0.627, 0.627, 0.000], [0.745, 0.245, 0.500], [0.396, 0.396, 0.000]]}

[8]
{"formula": "Ba2Ga3Sn6", "functional": "PBE", "state": "relaxed", "delta_e_f_ev_per_atom": -0.231, "magmom_total_mub_per_fu": 0.00, "space_group": "P-62m, No. 189", "final_energy_ev_per_atom": -3.589, "lattice": [[9.104, 0.000, 0.000], [-4.552, 7.885, 0.000], [0.000, 0.000, 4.675]], "species": ["Ba", "Ba", "Ga", "Ga", "Ga", "Sn", "Sn", "Sn", "Sn", "Sn", "Sn"], "fractional_positions": [[0.333, 0.667, 0.000], [0.667, 0.333, 0.000], [0.000, 0.626, 0.500], [0.374, 0.374, 0.500], [0.626, 0.000, 0.500], [0.000, 0.313, 0.500], [0.000, 0.805, 0.000], [0.195, 0.195, 0.000], [0.313, 0.000, 0.500], [0.687, 0.687, 0.500], [0.805, 0.000, 0.000]]}